Density functional theory data (PBEsol) for crystalline CoMo2Rh at its relaxed geometry.

Geometry as POSCAR:
```
CoMo2Rh
1.0
3.752 0.000 0.000
0.000 3.752 0.000
0.000 0.000 7.589
Co Mo Rh
2 4 2
Direct
0.000 0.000 0.000
0.500 0.500 0.500
0.000 0.500 0.250
0.000 0.500 0.750
0.500 0.000 0.250
0.500 0.000 0.750
0.000 0.000 0.500
0.500 0.500 0.000
```

Output
Its energy relative to the elements is -0.082 eV/atom. As for the space group: I4/mmm (139). The value obtained for the total magnetic moment is 0.000 μB per atom. For the excess energy over the best structure of this formula in the dataset, the calculation gives 0.000 eV/atom.

Density functional theory data (PBEsol) for crystalline CoMoRh at its relaxed geometry.

Geometry as POSCAR:
```
CoMoRh
1.0
5.667 0.000 0.000
0.000 5.667 0.000
0.000 0.000 5.667
Co Mo Rh
4 4 4
Direct
0.000 0.000 0.000
0.000 0.500 0.500
0.500 0.000 0.500
0.500 0.500 0.000
0.250 0.250 0.750
0.250 0.750 0.250
0.750 0.250 0.250
0.750 0.750 0.750
0.000 0.000 0.500
0.000 0.500 0.000
0.500 0.000 0.000
0.500 0.500 0.500
```

Output
Its energy relative to the elements is 0.492 eV/atom. As for the space group: F-43m (216). The value obtained for the total magnetic moment is 0.000 μB per atom. For the excess energy over the best structure of this formula in the dataset, the calculation gives 0.000 eV/atom.

Density functional theory data (PBEsol) for crystalline CoMo2Rh at its relaxed geometry.

Geometry as POSCAR:
```
CoMo2Rh
1.0
5.305 0.000 0.000
0.000 7.577 0.000
0.000 0.000 2.668
Co Mo Rh
2 4 2
Direct
0.000 0.000 0.000
0.500 0.500 0.000
0.250 0.250 0.500
0.250 0.750 0.500
0.750 0.250 0.500
0.750 0.750 0.500
0.000 0.500 0.000
0.500 0.000 0.000
```

Output
Its energy relative to the elements is -0.063 eV/atom. As for the space group: Cmmm (65). The value obtained for the total magnetic moment is 0.000 μB per atom. For the excess energy over the best structure of this formula in the dataset, the calculation gives 0.018 eV/atom.

Density functional theory data (PBEsol) for crystalline CoMoRu2Rh at its relaxed geometry.

Geometry as POSCAR:
```
CoMoRu2Rh
1.0
4.506 0.000 0.000
0.000 4.506 0.000
0.000 0.000 4.313
Co Mo Ru Rh
1 1 2 1
Direct
0.000 0.000 0.000
0.500 0.500 0.000
0.000 0.500 0.500
0.500 0.000 0.500
0.000 0.000 0.500
```

Output
Its energy relative to the elements is 2.077 eV/atom. As for the space group: P4/mmm (123). The value obtained for the total magnetic moment is 0.814 μB per atom.

Density functional theory data (PBEsol) for crystalline CoMo2Ru at its relaxed geometry.

Geometry as POSCAR:
```
CoMo2Ru
1.0
6.021 0.000 0.000
0.000 6.021 0.000
0.000 0.000 6.021
Co Mo Ru
4 8 4
Direct
0.000 0.000 0.000
0.000 0.500 0.500
0.500 0.000 0.500
0.500 0.500 0.000
0.000 0.000 0.500
0.000 0.500 0.000
0.250 0.250 0.250
0.250 0.750 0.750
0.500 0.000 0.000
0.500 0.500 0.500
0.750 0.250 0.750
0.750 0.750 0.250
0.250 0.250 0.750
0.250 0.750 0.250
0.750 0.250 0.250
0.750 0.750 0.750
```

Output
Its energy relative to the elements is 0.241 eV/atom. As for the space group: F-43m (216). The value obtained for the total magnetic moment is 0.351 μB per atom. For the excess energy over the best structure of this formula in the dataset, the calculation gives 0.212 eV/atom.

Density functional theory data (PBEsol) for crystalline CoMo2Ru at its relaxed geometry.

Geometry as POSCAR:
```
CoMo2Ru
1.0
3.785 0.000 0.000
0.000 3.785 0.000
0.000 0.000 3.737
Co Mo Ru
1 2 1
Direct
0.000 0.000 0.000
0.000 0.500 0.500
0.500 0.000 0.500
0.500 0.500 0.000
```

Output
Its energy relative to the elements is 0.028 eV/atom. As for the space group: P4/mmm (123). The value obtained for the total magnetic moment is 0.000 μB per atom. For the excess energy over the best structure of this formula in the dataset, the calculation gives 0.000 eV/atom.

Density functional theory data (PBEsol) for crystalline Co4MoRu at its relaxed geometry.

Geometry as POSCAR:
```
Co4MoRu
1.0
0.000 3.240 3.240
3.240 0.000 3.240
3.240 3.240 0.000
Co Mo Ru
4 1 1
Direct
0.125 0.125 0.125
0.125 0.125 0.626
0.125 0.626 0.125
0.626 0.125 0.125
0.500 0.500 0.500
0.750 0.750 0.750
```

Output
Its energy relative to the elements is 0.048 eV/atom. As for the space group: F-43m (216). The value obtained for the total magnetic moment is 0.581 μB per atom.

Density functional theory data (PBEsol) for crystalline CoMo2Ru at its relaxed geometry.

Geometry as POSCAR:
```
CoMo2Ru
1.0
3.092 0.000 0.000
0.000 3.092 0.000
0.000 0.000 5.700
Co Mo Ru
1 2 1
Direct
0.000 0.000 0.000
0.000 0.000 0.482
0.500 0.500 0.185
0.500 0.500 0.730
```

Output
Its energy relative to the elements is 0.136 eV/atom. As for the space group: P4mm (99). The value obtained for the total magnetic moment is 0.000 μB per atom. For the excess energy over the best structure of this formula in the dataset, the calculation gives 0.107 eV/atom.

no.,calculated volume (Å³/atom),total energy (eV/atom)
1,13.36,-9.934
2,15.16,-8.723
3,13.40,-9.916
4,17.51,-7.520
5,13.64,-10.121
6,13.38,-10.333
7,11.34,-8.767
8,13.62,-10.226